## CsRb2PuCl5 (PBE)

Data for a relaxed CsRb2PuCl5 crystal.

Calculated values
As for the uncorrected formation energy: -1866 meV per atom. As for the raw total energy: -4.794 eV/atom.

Cell: 5.4692 7.9051 9.3383 Å, 115.04 107.03 90.00°
Element x y z (fractional)
Rb (0.7915, 0.7915, 0.5830)
Rb (0.2085, 0.2085, 0.4170)
Cs (0.0000, 0.5000, 0.0000)
Cl (0.6302, 0.3752, 0.2603)
Cl (0.3698, 0.6248, 0.7397)
Cl (0.6302, 0.8851, 0.2603)
Cl (0.0000, 0.0000, 0.0000)
Cl (0.3698, 0.1149, 0.7397)
Pu (0.5000, 0.0000, 0.0000)



## GdHoPu4 (PBE)

Data for a relaxed GdHoPu4 crystal.

Calculated values
The value obtained for the energy of formation is 239.7 meV/atom. As for the raw total energy: -12.425 eV/atom.

Cell: 6.1896 6.1896 6.1896 Å, 60.00 60.00 60.00°
Element x y z (fractional)
Gd (0.0000, 0.0000, 0.0000)
Pu (0.6248, 0.1255, 0.6248)
Pu (0.6248, 0.6248, 0.6248)
Pu (0.1255, 0.6248, 0.6248)
Pu (0.6248, 0.6248, 0.1255)
Ho (0.2500, 0.2500, 0.2500)